## CsPbIN2 (meta-GGA SCAN)

Data for a PBEsol-optimized structure of CsPbIN2.

Cell: 4.634 4.634 6.640 Å, 90.00 90.00 90.00°
Space group P4/mmm (No. 123)
Unique sites:
Cs 0.000 0.000 0.000 [1 per cell]
Pb 0.500 0.500 0.500 [1 per cell]
I 0.000 0.000 0.500 [1 per cell]
N 0.000 0.500 0.000 [2 per cell]

The value obtained for the uncorrected formation energy is 1.86 eV/atom. As for the size of the total moment: 1.3 Bohr magnetons per cell. The value obtained for the density of states at the Fermi level is 1.45 states/eV/cell.

=====

## CoTc2 (meta-GGA SCAN)

Data for a PBEsol-optimized structure of CoTc2.

Cell: 2.587 3.754 7.861 Å, 90.00 90.00 90.00°
Space group Immm (No. 71)
Unique sites:
Co 0.000 0.000 0.000 [2 per cell]
Tc 0.000 0.000 0.337 [4 per cell]

The relative energy among the computed polymorphs is 49.3 meV per atom. As for the size of the total moment: 3.5 Bohr magnetons per cell. The value obtained for the density of states at the Fermi level is 4.42 states/eV/cell. The formation energy comes out at 0.30 eV/f.u.

=====

## Te2AsPb (meta-GGA SCAN)

Data for a PBEsol-optimized structure of Te2AsPb.

Cell: 3.657 3.657 7.715 Å, 90.00 90.00 90.00°
Space group P4/mmm (No. 123)
Unique sites:
Te 0.000 0.000 0.224 [2 per cell]
As 0.500 0.500 0.000 [1 per cell]
Pb 0.500 0.500 0.500 [1 per cell]

The value obtained for the uncorrected formation energy is 0.23 eV/atom. The relative energy among the computed polymorphs is 229.7 meV per atom. As for the size of the total moment: 0.0 Bohr magnetons per cell. The value obtained for the density of states at the Fermi level is 2.25 states/eV/cell.